No. 1
Fe3Au after structural relaxation, computed with GGA-PBE.

```
data_Fe3Au
_cell_length_a 2.9965
_cell_length_b 2.9965
_cell_length_c 6.0398
_cell_angle_alpha 90.00
_cell_angle_beta 90.00
_cell_angle_gamma 90.00
_symmetry_space_group_name_H-M 'P 4/m m m'
_symmetry_Int_Tables_number 123
_symmetry_space_group_name_Hall '-P 4 2'
loop_
_atom_site_label
_atom_site_type_symbol
_atom_site_fract_x
_atom_site_fract_y
_atom_site_fract_z
Fe1 Fe 0.0000 0.0000 0.0000
Fe2 Fe 0.5000 0.5000 0.2170
Au1 Au 0.0000 0.0000 0.5000
```

E_tot (eV/atom): -7.052
Volume (Å³/atom): 13.6
Formation enthalpy at 0 K (eV/atom): 0.115

No. 2
ZrAlV2As after structural relaxation, computed with GGA-PBE.

```
data_ZrAlV2As
_cell_length_a 4.6999
_cell_length_b 4.6999
_cell_length_c 5.1011
_cell_angle_alpha 90.00
_cell_angle_beta 90.00
_cell_angle_gamma 90.00
_symmetry_space_group_name_H-M 'P 4/m m m'
_symmetry_Int_Tables_number 123
_symmetry_space_group_name_Hall '-P 4 2'
loop_
_atom_site_label
_atom_site_type_symbol
_atom_site_fract_x
_atom_site_fract_y
_atom_site_fract_z
Zr1 Zr 0.0000 0.0000 0.0000
Al1 Al 0.0000 0.0000 0.5000
V1 V 0.0000 0.5000 0.0000
As1 As 0.5000 0.5000 0.5000
```

E_tot (eV/atom): -5.573
Volume (Å³/atom): 22.5
Formation enthalpy at 0 K (eV/atom): 1.462

No. 3
NaLa2HoSe4 after structural relaxation, computed with GGA-PBE.

```
data_NaLa2HoSe4
_cell_length_a 7.2804
_cell_length_b 4.2227
_cell_length_c 7.3625
_cell_angle_alpha 90.00
_cell_angle_beta 109.36
_cell_angle_gamma 90.00
_symmetry_space_group_name_H-M 'P 1 2/m 1'
_symmetry_Int_Tables_number 10
loop_
_symmetry_equiv_pos_as_xyz
'x,y,z'
'-x,-y,-z'
'-x,y,-z'
'x,-y,z'
loop_
_atom_site_label
_atom_site_type_symbol
_atom_site_fract_x
_atom_site_fract_y
_atom_site_fract_z
Na1 Na 0.0000 0.0000 0.0000
La1 La 0.5000 0.0000 0.5000
La2 La 0.5000 0.5000 0.0000
Ho1 Ho 0.0000 0.5000 0.5000
Se1 Se 0.2328 0.0000 0.7410
Se2 Se 0.2388 0.5000 0.2526
```

E_tot (eV/atom): -5.519
Volume (Å³/atom): 26.7

No. 4
Hg2GeAu after structural relaxation, computed with GGA-PBE.

```
data_Hg2GeAu
_cell_length_a 3.0397
_cell_length_b 3.0397
_cell_length_c 33.4758
_cell_angle_alpha 90.00
_cell_angle_beta 90.00
_cell_angle_gamma 120.00
_symmetry_space_group_name_H-M 'R -3 m'
_symmetry_Int_Tables_number 166
_symmetry_space_group_name_Hall '-R 3 2"'
loop_
_atom_site_label
_atom_site_type_symbol
_atom_site_fract_x
_atom_site_fract_y
_atom_site_fract_z
Hg1 Hg 0.0000 0.0000 0.0855
Ge1 Ge 0.0000 0.0000 0.5000
Au1 Au 0.0000 0.0000 0.0000
```

E_tot (eV/atom): -1.893
Volume (Å³/atom): 22.3
Formation enthalpy at 0 K (eV/atom): 0.232